# 1
The following is a PBE calculation of KAc2Tl after structural relaxation, from Alexandria via LeMat-Bulk.

Cell lengths 3.9718, 3.9718, 11.5399 Å; angles 90.00, 90.00, 90.00 degrees
Positions (direct):
K 0.0000 0.0000 0.0000
Ac 0.5000 0.5000 0.3161
Ac 0.5000 0.5000 0.6839
Tl 0.0000 0.0000 0.5000

## Properties
ΔE_f = 0.004 eV per atom
Energy above the lowest structure with this stoichiometry = 0.0000 eV per atom
DFT total energy = -2.9159 eV per atom
Magnetization = 0.71 μB per cell

# 2
The following is a PBE calculation of Ca9O2F14 after structural relaxation, from Alexandria via LeMat-Bulk.

Cell lengths 6.7968, 6.7968, 9.4180 Å; angles 90.00, 90.00, 120.00 degrees
Positions (direct):
Ca 0.0000 0.0000 0.0000
Ca 0.0474 0.3501 0.3383
Ca 0.3027 0.9526 0.3383
Ca 0.3333 0.6667 0.0259
Ca 0.3501 0.3027 0.6617
Ca 0.6499 0.6973 0.3383
Ca 0.6667 0.3333 0.9741
Ca 0.6973 0.0474 0.6617
Ca 0.9526 0.6499 0.6617
O 0.3333 0.6667 0.2570
O 0.6667 0.3333 0.7430
F 0.0000 0.0000 0.2554
F 0.0000 0.0000 0.7446
F 0.0452 0.6888 0.9084
F 0.0621 0.3764 0.5905
F 0.3112 0.3564 0.9084
F 0.3143 0.9379 0.5905
F 0.3564 0.0452 0.0916
F 0.3764 0.3143 0.4095
F 0.6236 0.6857 0.5905
F 0.6436 0.9548 0.9084
F 0.6857 0.0621 0.4095
F 0.6888 0.6436 0.0916
F 0.9379 0.6236 0.4095
F 0.9548 0.3112 0.0916

## Properties
DFT total energy = -5.9254 eV per atom
ΔE_f (raw) = -3.760 eV/atom
Magnetization = 0.28 μB per cell

# 3
The following is a PBE calculation of AgP2PbO after structural relaxation, from Alexandria via LeMat-Bulk.

Cell lengths 5.3220, 5.3220, 4.1885 Å; angles 90.00, 90.00, 90.00 degrees
Positions (direct):
Ag 0.0000 0.0000 0.0000
P 0.0000 0.5000 0.5000
P 0.5000 0.0000 0.5000
Pb 0.5000 0.5000 0.5000
O 0.5000 0.5000 0.0000

## Properties
Energy above the lowest structure with this stoichiometry = 0.2804 eV per atom
DFT total energy = -3.5338 eV per atom
ΔE_f (raw) = 0.934 eV/atom
Magnetization = 1.95 μB per cell

# 4
The following is a PBE calculation of Dy2Al6Ag9 after structural relaxation, from Alexandria via LeMat-Bulk.

Cell lengths 5.6603, 5.6603, 12.7608 Å; angles 90.00, 90.00, 120.00 degrees
Positions (direct):
Dy 0.0000 0.0000 0.1645
Dy 0.0000 0.0000 0.8355
Al 0.3333 0.6667 0.1647
Al 0.3333 0.6667 0.5000
Al 0.3333 0.6667 0.8353
Al 0.6667 0.3333 0.1647
Al 0.6667 0.3333 0.5000
Al 0.6667 0.3333 0.8353
Ag 0.0000 0.5000 0.0000
Ag 0.0000 0.5000 0.3319
Ag 0.0000 0.5000 0.6681
Ag 0.5000 0.0000 0.0000
Ag 0.5000 0.0000 0.3319
Ag 0.5000 0.0000 0.6681
Ag 0.5000 0.5000 0.0000
Ag 0.5000 0.5000 0.3319
Ag 0.5000 0.5000 0.6681

## Properties
ΔE_f = -0.087 eV per atom
DFT total energy = -3.4586 eV per atom
Magnetization = 0.00 μB per cell

# 5
The following is a PBE calculation of Na7Cd4Hg after structural relaxation, from Alexandria via LeMat-Bulk.

Cell lengths 5.4274, 5.4274, 12.9992 Å; angles 90.00, 90.00, 120.00 degrees
Positions (direct):
Na 0.0000 0.0000 0.0000
Na 0.0000 0.0000 0.2617
Na 0.0000 0.0000 0.7383
Na 0.3333 0.6667 0.1589
Na 0.3333 0.6667 0.4298
Na 0.6667 0.3333 0.5702
Na 0.6667 0.3333 0.8411
Cd 0.3333 0.6667 0.6833
Cd 0.3333 0.6667 0.9141
Cd 0.6667 0.3333 0.0859
Cd 0.6667 0.3333 0.3167
Hg 0.0000 0.0000 0.5000

## Properties
ΔE_f = -0.091 eV per atom
DFT total energy = -1.1902 eV per atom
Magnetization = 0.00 μB per cell

# 6
The following is a PBE calculation of Li7Cu2Ag3 after structural relaxation, from Alexandria via LeMat-Bulk.

Cell lengths 15.2350, 15.2350, 2.8252 Å; angles 90.00, 90.00, 162.62 degrees
Positions (direct):
Li 0.0000 0.0000 0.0000
Li 0.1058 0.8942 0.5000
Li 0.2698 0.7302 0.0000
Li 0.4252 0.5748 0.0000
Li 0.5748 0.4252 0.0000
Li 0.7302 0.2698 0.0000
Li 0.8942 0.1058 0.5000
Cu 0.1810 0.8190 0.0000
Cu 0.8190 0.1810 0.0000
Ag 0.3460 0.6540 0.5000
Ag 0.5000 0.5000 0.5000
Ag 0.6540 0.3460 0.5000

## Properties
ΔE_f = -0.041 eV per atom
DFT total energy = -2.5533 eV per atom
Magnetization = 0.00 μB per cell